{
  "formula": "Pm2AgPt",
  "functional": "meta-GGA SCAN",
  "state": "PBEsol geometry",
  "m_tot_mub_per_cell": 0.0,
  "total_energy_ev_per_fu": -192.8,
  "lattice": [[-3.1813, 2.5977, -2.9584], [-4.4883, -1.9820, -1.2441], [-4.2507, 1.9413, 1.9453]],
  "species": ["Pt", "Ag", "Pm", "Pm"],
  "fractional_positions": [[0.0000, 0.0000, 0.0000], [0.5000, 0.5000, 0.5000], [0.2500, 0.2500, 0.2500], [0.7500, 0.7500, 0.7500]]
}